Entry 1:
# SCAN FeSiMo2, PBEsol geometry
data_FeSiMo2
_chemical_formula_sum 'Fe1 Si1 Mo2'
_symmetry_space_group_name_H-M 'P 4 m m'
_symmetry_Int_Tables_number 99
_cell_length_a 2.7160
_cell_length_b 2.7160
_cell_length_c 7.0220
_cell_angle_alpha 90.00
_cell_angle_beta 90.00
_cell_angle_gamma 90.00
loop_
_symmetry_equiv_pos_as_xyz
'x,y,z'
'-y,x,z'
'-x,-y,z'
'y,-x,z'
'-x,y,z'
'y,x,z'
'x,-y,z'
'-y,-x,z'
loop_
_atom_site_label
_atom_site_fract_x
_atom_site_fract_y
_atom_site_fract_z
_atom_site_occupancy
Fe1 0.0000 0.0000 0.0000 1
Si1 0.5000 0.5000 0.8196 1
Mo1 0.0000 0.0000 0.5599 1
Mo2 0.5000 0.5000 0.2482 1
# Raw formation energy, eV/atom: -0.0266
# Size of the total moment, μB/f.u.: 0.0


Entry 2:
# SCAN Fe6SiMo, PBEsol geometry
data_Fe6SiMo
_chemical_formula_sum 'Fe48 Si8 Mo8'
_symmetry_space_group_name_H-M 'C m m m'
_symmetry_Int_Tables_number 65
_symmetry_space_group_name_Hall '-C 2 2'
_cell_length_a 5.7640
_cell_length_b 11.1333
_cell_length_c 11.1154
_cell_angle_alpha 90.00
_cell_angle_beta 90.00
_cell_angle_gamma 90.00
loop_
_atom_site_label
_atom_site_fract_x
_atom_site_fract_y
_atom_site_fract_z
_atom_site_occupancy
Fe1 0.0000 0.0000 0.0000 1
Fe2 0.0000 0.0000 0.5000 1
Fe3 0.0000 0.2494 0.2458 1
Fe4 0.0000 0.5000 0.0000 1
Fe5 0.0000 0.5000 0.5000 1
Fe6 0.2427 0.3772 0.3709 1
Fe7 0.2445 0.3725 0.1208 1
Si1 0.0000 0.2446 0.0000 1
Si2 0.0000 0.5000 0.2407 1
Mo1 0.0000 0.0000 0.2432 1
Mo2 0.0000 0.2442 0.5000 1
# Raw formation energy, eV/atom: -0.0567
# Size of the total moment, μB/f.u.: 10.2


Entry 3:
# SCAN TaFe2Mo, PBEsol geometry
data_TaFe2Mo
_chemical_formula_sum 'Ta3 Fe6 Mo3'
_symmetry_space_group_name_H-M 'R -3 m'
_symmetry_Int_Tables_number 166
_symmetry_space_group_name_Hall '-R 3 2"'
_cell_length_a 2.7902
_cell_length_b 2.7902
_cell_length_c 24.6302
_cell_angle_alpha 90.00
_cell_angle_beta 90.00
_cell_angle_gamma 120.00
loop_
_atom_site_label
_atom_site_fract_x
_atom_site_fract_y
_atom_site_fract_z
_atom_site_occupancy
Ta1 0.0000 0.0000 0.0000 1
Fe1 0.0000 0.0000 0.2478 1
Mo1 0.0000 0.0000 0.5000 1
# Energy of formation, eV/atom: 0.336
# Size of the total moment, μB/f.u.: 4.0


Entry 4:
# SCAN TaFe3Mo, PBEsol geometry
data_TaFe3Mo
_chemical_formula_sum 'Ta1 Fe3 Mo1'
_symmetry_space_group_name_H-M 'P m -3 m'
_symmetry_Int_Tables_number 221
_symmetry_space_group_name_Hall '-P 4 2 3'
_cell_length_a 4.2578
_cell_length_b 4.2578
_cell_length_c 4.2578
_cell_angle_alpha 90.00
_cell_angle_beta 90.00
_cell_angle_gamma 90.00
loop_
_atom_site_label
_atom_site_fract_x
_atom_site_fract_y
_atom_site_fract_z
_atom_site_occupancy
Ta1 0.0000 0.0000 0.0000 1
Fe1 0.0000 0.5000 0.5000 1
Mo1 0.5000 0.5000 0.5000 1
# Energy of formation, eV/atom: 1.550
# Size of the total moment, μB/f.u.: 4.4


Question: Among the records above, which one has the lowest size of the total moment?
Answer: FeSiMo2


Question: What is the size of the total moment in the second record?
Answer: 10.2 μB/f.u.


Please write out number 4 again, unchanged.
# SCAN TaFe3Mo, PBEsol geometry
data_TaFe3Mo
_chemical_formula_sum 'Ta1 Fe3 Mo1'
_symmetry_space_group_name_H-M 'P m -3 m'
_symmetry_Int_Tables_number 221
_symmetry_space_group_name_Hall '-P 4 2 3'
_cell_length_a 4.2578
_cell_length_b 4.2578
_cell_length_c 4.2578
_cell_angle_alpha 90.00
_cell_angle_beta 90.00
_cell_angle_gamma 90.00
loop_
_atom_site_label
_atom_site_fract_x
_atom_site_fract_y
_atom_site_fract_z
_atom_site_occupancy
Ta1 0.0000 0.0000 0.0000 1
Fe1 0.0000 0.5000 0.5000 1
Mo1 0.5000 0.5000 0.5000 1
# Energy of formation, eV/atom: 1.550
# Size of the total moment, μB/f.u.: 4.4


Question: Among the records above, which one has the highest size of the total moment?
Answer: Fe6SiMo